1.
KTl2Cu | PBE | optimized geometry

Unit cell a=4.159 b=4.159 c=8.273 alpha=77.10 beta=77.10 gamma=64.86
Atoms (fractional coordinates):
Cu: 0.410 0.410 0.748
Tl: 0.013 0.013 0.917
Tl: 0.806 0.806 0.585
K: 0.272 0.272 0.250

Output
- Fermi-level density of states: 1.2 states/eV/cell
- Calculated volume: 124.9 Å³ per cell
- Formation energy from the elements: 77 meV/atom

=====

2.
K2TlCu | PBE | optimized geometry

Unit cell a=10.731 b=10.731 c=10.731 alpha=22.28 beta=22.28 gamma=22.28
Atoms (fractional coordinates):
Cu: 0.750 0.750 0.750
K: 0.012 0.012 0.012
K: 0.488 0.488 0.488
Tl: 0.250 0.250 0.250

Output
- Fermi-level density of states: 2.5 states/eV/cell
- Relative energy among the computed polymorphs: 0.2182 eV per atom
- Calculated volume: 155.7 Å³ per cell
- Formation energy from the elements: 320 meV/atom

=====

3.
K2TlCu | PBE | optimized geometry

Unit cell a=3.868 b=3.868 c=9.889 alpha=90.00 beta=90.00 gamma=89.86
Atoms (fractional coordinates):
K: 0.000 0.000 0.922
K: 0.500 0.500 0.327
Cu: 0.500 0.500 0.672
Tl: 0.000 0.000 0.578

Output
- Fermi-level density of states: 2.1 states/eV/cell
- Relative energy among the computed polymorphs: 0.0557 eV per atom
- Calculated volume: 148.0 Å³ per cell
- Formation energy from the elements: 157 meV/atom

=====

4.
KTl2Cu2 | PBE | optimized geometry

Unit cell a=4.933 b=4.933 c=6.464 alpha=67.57 beta=67.57 gamma=90.00
Atoms (fractional coordinates):
K: 0.000 0.000 0.000
Cu: 0.250 0.750 0.500
Cu: 0.750 0.250 0.500
Tl: 0.649 0.649 0.702
Tl: 0.351 0.351 0.298

Output
- Fermi-level density of states: 1.7 states/eV/cell
- Relative energy among the computed polymorphs: 0.0000 eV per atom
- Calculated volume: 132.4 Å³ per cell
- Formation energy from the elements: 155 meV/atom

=====

5.
KTlCu | PBE | optimized geometry

Unit cell a=4.266 b=6.400 c=7.116 alpha=80.95 beta=72.55 gamma=89.87
Atoms (fractional coordinates):
K: 0.376 0.641 0.749
K: 0.624 0.359 0.251
Tl: 0.089 0.846 0.322
Tl: 0.911 0.154 0.678
Cu: 0.717 0.917 0.066
Cu: 0.283 0.083 0.934

Output
- Fermi-level density of states: 2.5 states/eV/cell
- Relative energy among the computed polymorphs: 0.0000 eV per atom
- Calculated volume: 182.8 Å³ per cell
- Formation energy from the elements: 77 meV/atom

=====

6.
K2TlCu2 | PBE | optimized geometry

Unit cell a=4.965 b=4.965 c=7.514 alpha=70.71 beta=70.71 gamma=90.00
Atoms (fractional coordinates):
K: 0.250 0.750 0.500
K: 0.750 0.250 0.500
Cu: 0.412 0.412 0.176
Cu: 0.588 0.588 0.824
Tl: 0.000 0.000 0.000

Output
- Fermi-level density of states: 2.9 states/eV/cell
- Relative energy among the computed polymorphs: 0.2655 eV per atom
- Calculated volume: 163.7 Å³ per cell
- Formation energy from the elements: 513 meV/atom

=====

7.
KTl2Cu | PBE | optimized geometry

Unit cell a=5.582 b=5.582 c=5.582 alpha=124.98 beta=124.98 gamma=81.58
Atoms (fractional coordinates):
K: 0.750 0.250 0.500
Tl: 0.250 0.750 0.500
Tl: 0.000 0.000 0.000
Cu: 0.500 0.500 0.000

Output
- Fermi-level density of states: 1.6 states/eV/cell
- Calculated volume: 112.4 Å³ per cell
- Formation energy from the elements: 248 meV/atom

=====

8.
KTl2Cu | PBE | optimized geometry

Unit cell a=6.039 b=6.611 c=3.415 alpha=77.70 beta=84.32 gamma=115.54
Atoms (fractional coordinates):
Cu: 0.000 0.500 0.500
Tl: 0.500 0.000 0.500
Tl: 0.000 0.000 0.000
K: 0.500 0.500 0.000

Output
- Fermi-level density of states: 2.1 states/eV/cell
- Calculated volume: 117.4 Å³ per cell
- Formation energy from the elements: 324 meV/atom

=====

9.
KTlCu2 | PBE | optimized geometry

Unit cell a=5.417 b=5.417 c=5.417 alpha=129.42 beta=129.42 gamma=74.33
Atoms (fractional coordinates):
Tl: 0.750 0.250 0.500
Cu: 0.250 0.750 0.500
Cu: 0.000 0.000 0.000
K: 0.500 0.500 0.000

Output
- Fermi-level density of states: 1.4 states/eV/cell
- Relative energy among the computed polymorphs: 0.3580 eV per atom
- Calculated volume: 92.4 Å³ per cell
- Formation energy from the elements: 505 meV/atom

=====

10.
KTl2Cu | PBE | optimized geometry

Unit cell a=6.120 b=6.120 c=6.120 alpha=139.30 beta=125.00 gamma=70.63
Atoms (fractional coordinates):
Cu: 0.544 0.544 0.000
Tl: 0.977 0.977 0.000
Tl: 0.707 0.207 0.500
K: 0.272 0.772 0.500

Output
- Fermi-level density of states: 2.0 states/eV/cell
- Calculated volume: 120.2 Å³ per cell
- Formation energy from the elements: 206 meV/atom

=====

11.
KTlCu2 | PBE | optimized geometry

Unit cell a=3.312 b=3.454 c=8.059 alpha=90.00 beta=90.00 gamma=90.00
Atoms (fractional coordinates):
K: 0.000 0.000 0.466
Cu: 0.000 0.000 0.063
Cu: 0.500 0.500 0.153
Tl: 0.500 0.500 0.818

Output
- Fermi-level density of states: 1.5 states/eV/cell
- Relative energy among the computed polymorphs: 0.0698 eV per atom
- Calculated volume: 92.2 Å³ per cell
- Formation energy from the elements: 217 meV/atom

=====

12.
KTl2Cu | PBE | optimized geometry

Unit cell a=5.360 b=5.360 c=5.360 alpha=60.00 beta=60.00 gamma=60.00
Atoms (fractional coordinates):
Tl: 0.250 0.250 0.250
Tl: 0.750 0.750 0.750
Cu: 0.500 0.500 0.500
K: 0.000 0.000 0.000

Output
- Fermi-level density of states: 2.1 states/eV/cell
- Calculated volume: 108.9 Å³ per cell
- Formation energy from the elements: 254 meV/atom

=====

13.
KTl2Cu2 | PBE | optimized geometry

Unit cell a=4.989 b=4.989 c=6.203 alpha=66.29 beta=66.29 gamma=90.00
Atoms (fractional coordinates):
K: 0.000 0.000 0.000
Tl: 0.750 0.250 0.500
Tl: 0.250 0.750 0.500
Cu: 0.381 0.381 0.238
Cu: 0.619 0.619 0.762

Output
- Fermi-level density of states: 1.8 states/eV/cell
- Relative energy among the computed polymorphs: 0.0252 eV per atom
- Calculated volume: 127.0 Å³ per cell
- Formation energy from the elements: 180 meV/atom

=====

14.
K3TlCu | PBE | optimized geometry

Unit cell a=6.267 b=6.267 c=6.267 alpha=90.00 beta=90.00 gamma=90.00
Atoms (fractional coordinates):
Tl: 0.500 0.500 0.500
K: 0.000 0.500 0.000
K: 0.000 0.000 0.500
K: 0.500 0.000 0.000
Cu: 0.000 0.000 0.000

Output
- Fermi-level density of states: 3.4 states/eV/cell
- Relative energy among the computed polymorphs: 0.0000 eV per atom
- Calculated volume: 246.1 Å³ per cell
- Formation energy from the elements: 284 meV/atom

=====

15.
KTl3Cu | PBE | optimized geometry

Unit cell a=5.381 b=5.381 c=5.381 alpha=90.00 beta=90.00 gamma=90.00
Atoms (fractional coordinates):
Cu: 0.000 0.000 0.000
K: 0.500 0.500 0.500
Tl: 0.500 0.000 0.000
Tl: 0.000 0.000 0.500
Tl: 0.000 0.500 0.000

Output
- Fermi-level density of states: 2.6 states/eV/cell
- Relative energy among the computed polymorphs: 0.0000 eV per atom
- Calculated volume: 155.8 Å³ per cell
- Formation energy from the elements: 77 meV/atom